Computed, not measured: LaSmCo after structural relaxation at the PBE-GGA level of DFT.

a b c (Å): 4.7308 4.7308 4.7308
angles (deg): 60.00 60.00 60.00
With the nearest neighbours (Å) after each atom.
Fractional coordinates of all 3 atoms:
1 Sm 0.0000 0.0000 0.0000  4 Co 2.90, 4 La 2.90
2 Co 0.2500 0.2500 0.2500  4 Sm 2.90
3 La 0.7500 0.7500 0.7500  4 Sm 2.90

## Properties
The total energy is -14.86 eV for the cell shown. As for the crystal system: cubic. The energy above the lowest structure with this stoichiometry comes out at 0 meV/atom.

Computed, not measured: CsNaPa after structural relaxation at the PBE-GGA level of DFT.

a b c (Å): 5.5431 5.5431 5.5431
angles (deg): 60.00 60.00 60.00
With the nearest neighbours (Å) after each atom.
Fractional coordinates of all 3 atoms:
1 Na 0.2500 0.2500 0.2500  4 Cs 3.39
2 Pa 0.7500 0.7500 0.7500  4 Cs 3.39
3 Cs 0.0000 0.0000 0.0000  4 Na 3.39, 4 Pa 3.39

## Properties
The total energy is -5.97 eV for the cell shown. As for the crystal system: cubic. The energy above the lowest structure with this stoichiometry comes out at 169 meV/atom.

Question: Look up the energy above the lowest structure with this stoichiometry of the first one.
Answer: 0 meV/atom